1.
# Re2TcMo GGA-PBE relaxed
# M_tot	0.0	μB per formula unit
# raw total energy	-45.58	eV for the cell shown
# symmetry	Cmmm
# E_form	0.127	eV per atom
# crystal system	orthorhombic
# V	60.6	Å³ per cell
data_Re2TcMo
_chemical_formula_sum 'Re2 Tc1 Mo1'
_symmetry_space_group_name_H-M 'P 1'
_symmetry_Int_Tables_number 1
_symmetry_space_group_name_Hall 'P 1'
_cell_length_a 4.8156
_cell_length_b 4.8156
_cell_length_c 2.7694
_cell_angle_alpha 90.00
_cell_angle_beta 90.00
_cell_angle_gamma 109.40
loop_
_atom_site_label
_atom_site_type_symbol
_atom_site_fract_x
_atom_site_fract_y
_atom_site_fract_z
Mo1 Mo 0.0000 0.5000 0.5000
Re1 Re 0.0000 0.0000 0.0000
Re2 Re 0.5000 0.5000 0.0000
Tc1 Tc 0.5000 0.0000 0.5000

2.
# ReTc2Mo GGA-PBE relaxed
# M_tot	0.0	μB per formula unit
# raw total energy	-43.57	eV for the cell shown
# symmetry	P4/mmm
# E_form	0.110	eV per atom
# crystal system	tetragonal
# V	60.1	Å³ per cell
data_ReTc2Mo
_chemical_formula_sum 'Re1 Tc2 Mo1'
_symmetry_space_group_name_H-M 'P 1'
_symmetry_Int_Tables_number 1
_symmetry_space_group_name_Hall 'P 1'
_cell_length_a 3.9125
_cell_length_b 3.9209
_cell_length_c 3.9209
_cell_angle_alpha 90.00
_cell_angle_beta 90.00
_cell_angle_gamma 90.00
loop_
_atom_site_label
_atom_site_type_symbol
_atom_site_fract_x
_atom_site_fract_y
_atom_site_fract_z
Mo1 Mo 0.5000 0.5000 0.0000
Re1 Re 0.5000 0.0000 0.5000
Tc1 Tc 0.0000 0.0000 0.0000
Tc2 Tc 0.0000 0.5000 0.5000

3.
# ReTc2Mo GGA-PBE relaxed
# M_tot	0.0	μB per formula unit
# raw total energy	-43.54	eV for the cell shown
# symmetry	Pmm2
# E_form	0.118	eV per atom
# crystal system	orthorhombic
# V	60.2	Å³ per cell
data_ReTc2Mo
_chemical_formula_sum 'Re1 Tc2 Mo1'
_symmetry_space_group_name_H-M 'P 1'
_symmetry_Int_Tables_number 1
_symmetry_space_group_name_Hall 'P 1'
_cell_length_a 2.7662
_cell_length_b 3.9311
_cell_length_c 5.5403
_cell_angle_alpha 90.00
_cell_angle_beta 90.00
_cell_angle_gamma 90.00
loop_
_atom_site_label
_atom_site_type_symbol
_atom_site_fract_x
_atom_site_fract_y
_atom_site_fract_z
Mo1 Mo 0.0000 0.0000 0.4983
Re1 Re 0.5000 0.5000 0.7566
Tc1 Tc 0.0000 0.0000 0.0000
Tc2 Tc 0.5000 0.5000 0.2451

4.
# ReTcMo GGA-PBE relaxed
# M_tot	0.0	μB per formula unit
# raw total energy	-33.23	eV for the cell shown
# symmetry	Imm2
# E_form	0.139	eV per atom
# crystal system	orthorhombic
# V	45.6	Å³ per cell
data_ReTcMo
_chemical_formula_sum 'Re1 Tc1 Mo1'
_symmetry_space_group_name_H-M 'P 1'
_symmetry_Int_Tables_number 1
_symmetry_space_group_name_Hall 'P 1'
_cell_length_a 4.8203
_cell_length_b 4.8203
_cell_length_c 4.8203
_cell_angle_alpha 146.52
_cell_angle_beta 131.80
_cell_angle_gamma 59.95
loop_
_atom_site_label
_atom_site_type_symbol
_atom_site_fract_x
_atom_site_fract_y
_atom_site_fract_z
Mo1 Mo 0.9996 0.9996 0.0000
Re1 Re 0.6704 0.6704 0.0000
Tc1 Tc 0.3300 0.3300 0.0000

5.
# Re2TcMo GGA-PBE relaxed
# M_tot	0.0	μB per formula unit
# raw total energy	-45.33	eV for the cell shown
# symmetry	P4/mmm
# E_form	0.191	eV per atom
# crystal system	tetragonal
# V	60.7	Å³ per cell
data_Re2TcMo
_chemical_formula_sum 'Re2 Tc1 Mo1'
_symmetry_space_group_name_H-M 'P 1'
_symmetry_Int_Tables_number 1
_symmetry_space_group_name_Hall 'P 1'
_cell_length_a 4.4306
_cell_length_b 4.4306
_cell_length_c 3.0941
_cell_angle_alpha 90.00
_cell_angle_beta 90.00
_cell_angle_gamma 90.00
loop_
_atom_site_label
_atom_site_type_symbol
_atom_site_fract_x
_atom_site_fract_y
_atom_site_fract_z
Mo1 Mo 0.0000 0.5000 0.5000
Re1 Re 0.0000 0.0000 0.0000
Re2 Re 0.5000 0.5000 0.0000
Tc1 Tc 0.5000 0.0000 0.5000

6.
# Re2TcMo GGA-PBE relaxed
# M_tot	0.0	μB per formula unit
# raw total energy	-45.63	eV for the cell shown
# symmetry	Pmm2
# E_form	0.115	eV per atom
# crystal system	orthorhombic
# V	60.6	Å³ per cell
data_Re2TcMo
_chemical_formula_sum 'Re2 Tc1 Mo1'
_symmetry_space_group_name_H-M 'P 1'
_symmetry_Int_Tables_number 1
_symmetry_space_group_name_Hall 'P 1'
_cell_length_a 2.7739
_cell_length_b 3.9311
_cell_length_c 5.5606
_cell_angle_alpha 90.00
_cell_angle_beta 90.00
_cell_angle_gamma 90.00
loop_
_atom_site_label
_atom_site_type_symbol
_atom_site_fract_x
_atom_site_fract_y
_atom_site_fract_z
Mo1 Mo 0.5000 0.5000 0.7480
Re1 Re 0.0000 0.0000 0.0057
Re2 Re 0.5000 0.5000 0.2500
Tc1 Tc 0.0000 0.0000 0.4963

7.
# Re8Tc6Mo GGA-PBE relaxed
# M_tot	0.0	μB per formula unit
# raw total energy	-166.94	eV for the cell shown
# symmetry	P-3
# E_form	0.378	eV per atom
# crystal system	trigonal
# V	241.1	Å³ per cell
data_Re8Tc6Mo
_chemical_formula_sum 'Re8 Tc6 Mo1'
_symmetry_space_group_name_H-M 'P 1'
_symmetry_Int_Tables_number 1
_symmetry_space_group_name_Hall 'P 1'
_cell_length_a 5.4681
_cell_length_b 7.1347
_cell_length_c 7.1347
_cell_angle_alpha 120.00
_cell_angle_beta 90.00
_cell_angle_gamma 90.00
loop_
_atom_site_label
_atom_site_type_symbol
_atom_site_fract_x
_atom_site_fract_y
_atom_site_fract_z
Re1 Re 0.9065 0.9922 0.3251
Re2 Re 0.9065 0.6749 0.6671
Re3 Re 0.9065 0.3329 0.0078
Re4 Re 0.0935 0.0078 0.6749
Re5 Re 0.0935 0.3251 0.3329
Re6 Re 0.0935 0.6671 0.9922
Re7 Re 0.7360 0.3333 0.6667
Re8 Re 0.2640 0.6667 0.3333
Tc1 Tc 0.6094 0.6844 0.0691
Tc2 Tc 0.6094 0.9309 0.6153
Tc3 Tc 0.6094 0.3847 0.3156
Tc4 Tc 0.3906 0.3156 0.9309
Tc5 Tc 0.3906 0.0691 0.3847
Tc6 Tc 0.3906 0.6153 0.6844
Mo1 Mo 0.5000 0.0000 0.0000

8.
# ReTc2Mo GGA-PBE relaxed
# M_tot	0.0	μB per formula unit
# raw total energy	-43.57	eV for the cell shown
# symmetry	Cm
# E_form	0.111	eV per atom
# crystal system	monoclinic
# V	60.2	Å³ per cell
data_ReTc2Mo
_chemical_formula_sum 'Re1 Tc2 Mo1'
_symmetry_space_group_name_H-M 'P 1'
_symmetry_Int_Tables_number 1
_symmetry_space_group_name_Hall 'P 1'
_cell_length_a 4.8087
_cell_length_b 4.8087
_cell_length_c 4.7860
_cell_angle_alpha 80.64
_cell_angle_beta 80.64
_cell_angle_gamma 33.53
loop_
_atom_site_label
_atom_site_type_symbol
_atom_site_fract_x
_atom_site_fract_y
_atom_site_fract_z
Mo1 Mo 0.4996 0.4996 0.5025
Re1 Re 0.2547 0.2547 0.2427
Tc1 Tc 0.0001 0.0001 0.0001
Tc2 Tc 0.7456 0.7456 0.7548

9.
# ReTc2Mo GGA-PBE relaxed
# M_tot	0.0	μB per formula unit
# raw total energy	-43.29	eV for the cell shown
# symmetry	R3m
# E_form	0.179	eV per atom
# crystal system	trigonal
# V	60.8	Å³ per cell
data_ReTc2Mo
_chemical_formula_sum 'Re1 Tc2 Mo1'
_symmetry_space_group_name_H-M 'P 1'
_symmetry_Int_Tables_number 1
_symmetry_space_group_name_Hall 'P 1'
_cell_length_a 4.3927
_cell_length_b 4.3927
_cell_length_c 4.4348
_cell_angle_alpha 60.31
_cell_angle_beta 60.31
_cell_angle_gamma 60.00
loop_
_atom_site_label
_atom_site_type_symbol
_atom_site_fract_x
_atom_site_fract_y
_atom_site_fract_z
Re1 Re 0.5068 0.5068 0.4796
Tc1 Tc 0.0072 0.0072 0.9785
Tc2 Tc 0.2410 0.2410 0.2769
Mo1 Mo 0.7450 0.7450 0.7650

10.
# ReTcMo2 GGA-PBE relaxed
# M_tot	0.0	μB per formula unit
# raw total energy	-44.08	eV for the cell shown
# symmetry	P2/m
# E_form	0.098	eV per atom
# crystal system	monoclinic
# V	61.4	Å³ per cell
data_ReTcMo2
_chemical_formula_sum 'Re1 Tc1 Mo2'
_symmetry_space_group_name_H-M 'P 1'
_symmetry_Int_Tables_number 1
_symmetry_space_group_name_Hall 'P 1'
_cell_length_a 4.4359
_cell_length_b 2.7086
_cell_length_c 5.1922
_cell_angle_alpha 80.00
_cell_angle_beta 90.00
_cell_angle_gamma 90.00
loop_
_atom_site_label
_atom_site_type_symbol
_atom_site_fract_x
_atom_site_fract_y
_atom_site_fract_z
Mo1 Mo 0.0000 0.0096 0.9997
Mo2 Mo 0.0000 0.4904 0.5003
Re1 Re 0.5000 0.2500 0.2500
Tc1 Tc 0.5000 0.7500 0.7500

11.
# ReTc2Mo GGA-PBE relaxed
# M_tot	0.0	μB per formula unit
# raw total energy	-43.53	eV for the cell shown
# symmetry	C2/m
# E_form	0.121	eV per atom
# crystal system	monoclinic
# V	60.3	Å³ per cell
data_ReTc2Mo
_chemical_formula_sum 'Re1 Tc2 Mo1'
_symmetry_space_group_name_H-M 'P 1'
_symmetry_Int_Tables_number 1
_symmetry_space_group_name_Hall 'P 1'
_cell_length_a 4.7934
_cell_length_b 4.7934
_cell_length_c 4.8073
_cell_angle_alpha 80.53
_cell_angle_beta 80.53
_cell_angle_gamma 33.68
loop_
_atom_site_label
_atom_site_type_symbol
_atom_site_fract_x
_atom_site_fract_y
_atom_site_fract_z
Mo1 Mo 0.7500 0.7500 0.7500
Re1 Re 0.2500 0.2500 0.2500
Tc1 Tc 0.9958 0.9958 0.0060
Tc2 Tc 0.5042 0.5042 0.4940

12.
# Re2TcMo GGA-PBE relaxed
# M_tot	0.0	μB per formula unit
# raw total energy	-78.21	eV for the cell shown
# symmetry	I-42d
# E_form	1.747	eV per atom
# crystal system	tetragonal
# V	181.5	Å³ per cell
data_Re2TcMo
_chemical_formula_sum 'Re4 Tc2 Mo2'
_symmetry_space_group_name_H-M 'P 1'
_symmetry_Int_Tables_number 1
_symmetry_space_group_name_Hall 'P 1'
_cell_length_a 5.7033
_cell_length_b 5.7033
_cell_length_c 6.8838
_cell_angle_alpha 65.53
_cell_angle_beta 65.53
_cell_angle_gamma 90.00
loop_
_atom_site_label
_atom_site_type_symbol
_atom_site_fract_x
_atom_site_fract_y
_atom_site_fract_z
Re1 Re 0.6337 0.1250 0.2500
Re2 Re 0.1163 0.6250 0.2500
Re3 Re 0.3750 0.3663 0.7500
Re4 Re 0.8750 0.8837 0.7500
Mo1 Mo 0.5000 0.5000 0.0000
Mo2 Mo 0.2500 0.7500 0.5000
Tc1 Tc 0.0000 0.0000 0.0000
Tc2 Tc 0.7500 0.2500 0.5000

13.
# Re2Tc2Mo GGA-PBE relaxed
# M_tot	0.0	μB per formula unit
# raw total energy	-110.18	eV for the cell shown
# symmetry	P4/mbm
# E_form	0.274	eV per atom
# crystal system	tetragonal
# V	156.4	Å³ per cell
data_Re2Tc2Mo
_chemical_formula_sum 'Re4 Tc4 Mo2'
_symmetry_space_group_name_H-M 'P 1'
_symmetry_Int_Tables_number 1
_symmetry_space_group_name_Hall 'P 1'
_cell_length_a 7.4935
_cell_length_b 7.4935
_cell_length_c 2.7861
_cell_angle_alpha 90.00
_cell_angle_beta 90.00
_cell_angle_gamma 90.00
loop_
_atom_site_label
_atom_site_type_symbol
_atom_site_fract_x
_atom_site_fract_y
_atom_site_fract_z
Re1 Re 0.1698 0.6698 0.5000
Re2 Re 0.6698 0.8302 0.5000
Re3 Re 0.8302 0.3302 0.5000
Re4 Re 0.3302 0.1698 0.5000
Mo1 Mo 0.0000 0.0000 0.0000
Mo2 Mo 0.5000 0.5000 0.0000
Tc1 Tc 0.3725 0.8725 0.0000
Tc2 Tc 0.8725 0.6275 0.0000
Tc3 Tc 0.6275 0.1275 0.0000
Tc4 Tc 0.1275 0.3725 0.0000

14.
# Re2TcMo GGA-PBE relaxed
# M_tot	0.0	μB per formula unit
# raw total energy	-45.30	eV for the cell shown
# symmetry	Cmm2
# E_form	0.199	eV per atom
# crystal system	orthorhombic
# V	60.8	Å³ per cell
data_Re2TcMo
_chemical_formula_sum 'Re2 Tc1 Mo1'
_symmetry_space_group_name_H-M 'P 1'
_symmetry_Int_Tables_number 1
_symmetry_space_group_name_Hall 'P 1'
_cell_length_a 2.7050
_cell_length_b 2.7050
_cell_length_c 8.8243
_cell_angle_alpha 90.00
_cell_angle_beta 90.00
_cell_angle_gamma 109.79
loop_
_atom_site_label
_atom_site_type_symbol
_atom_site_fract_x
_atom_site_fract_y
_atom_site_fract_z
Mo1 Mo 0.5000 0.5000 0.7488
Re1 Re 0.0000 0.0000 0.0009
Re2 Re 0.5000 0.5000 0.2513
Tc1 Tc 0.0000 0.0000 0.4991

15.
# Re2TcMo GGA-PBE relaxed
# M_tot	0.0	μB per formula unit
# raw total energy	-45.59	eV for the cell shown
# symmetry	I4/mmm
# E_form	0.125	eV per atom
# crystal system	tetragonal
# V	60.7	Å³ per cell
data_Re2TcMo
_chemical_formula_sum 'Re2 Tc1 Mo1'
_symmetry_space_group_name_H-M 'P 1'
_symmetry_Int_Tables_number 1
_symmetry_space_group_name_Hall 'P 1'
_cell_length_a 4.8239
_cell_length_b 4.8239
_cell_length_c 4.8239
_cell_angle_alpha 132.06
_cell_angle_beta 132.06
_cell_angle_gamma 70.13
loop_
_atom_site_label
_atom_site_type_symbol
_atom_site_fract_x
_atom_site_fract_y
_atom_site_fract_z
Mo1 Mo 0.7500 0.2500 0.5000
Re1 Re 0.0000 0.0000 0.0000
Re2 Re 0.5000 0.5000 0.0000
Tc1 Tc 0.2500 0.7500 0.5000

16.
# Re2TcMo GGA-PBE relaxed
# M_tot	0.0	μB per formula unit
# raw total energy	-45.31	eV for the cell shown
# symmetry	P4mm
# E_form	0.195	eV per atom
# crystal system	tetragonal
# V	61.2	Å³ per cell
data_Re2TcMo
_chemical_formula_sum 'Re2 Tc1 Mo1'
_symmetry_space_group_name_H-M 'P 1'
_symmetry_Int_Tables_number 1
_symmetry_space_group_name_Hall 'P 1'
_cell_length_a 3.1246
_cell_length_b 3.1246
_cell_length_c 6.2646
_cell_angle_alpha 90.00
_cell_angle_beta 90.00
_cell_angle_gamma 90.00
loop_
_atom_site_label
_atom_site_type_symbol
_atom_site_fract_x
_atom_site_fract_y
_atom_site_fract_z
Mo1 Mo 0.5000 0.5000 0.7349
Re1 Re 0.0000 0.0000 0.0062
Re2 Re 0.5000 0.5000 0.2396
Tc1 Tc 0.0000 0.0000 0.5193

17.
# ReTc2Mo GGA-PBE relaxed
# M_tot	0.0	μB per formula unit
# raw total energy	-43.51	eV for the cell shown
# symmetry	R-3m
# E_form	0.126	eV per atom
# crystal system	trigonal
# V	60.2	Å³ per cell
data_ReTc2Mo
_chemical_formula_sum 'Re1 Tc2 Mo1'
_symmetry_space_group_name_H-M 'P 1'
_symmetry_Int_Tables_number 1
_symmetry_space_group_name_Hall 'P 1'
_cell_length_a 9.2451
_cell_length_b 9.2451
_cell_length_c 9.2451
_cell_angle_alpha 17.18
_cell_angle_beta 17.18
_cell_angle_gamma 17.18
loop_
_atom_site_label
_atom_site_type_symbol
_atom_site_fract_x
_atom_site_fract_y
_atom_site_fract_z
Mo1 Mo 0.7500 0.7500 0.7500
Re1 Re 0.2500 0.2500 0.2500
Tc1 Tc 0.9984 0.9984 0.9984
Tc2 Tc 0.5016 0.5016 0.5016

18.
# ReTcMo2 GGA-PBE relaxed
# M_tot	0.0	μB per formula unit
# raw total energy	-43.80	eV for the cell shown
# symmetry	P4mm
# E_form	0.170	eV per atom
# crystal system	tetragonal
# V	62.1	Å³ per cell
data_ReTcMo2
_chemical_formula_sum 'Re1 Tc1 Mo2'
_symmetry_space_group_name_H-M 'P 1'
_symmetry_Int_Tables_number 1
_symmetry_space_group_name_Hall 'P 1'
_cell_length_a 2.7408
_cell_length_b 2.7408
_cell_length_c 8.2700
_cell_angle_alpha 90.00
_cell_angle_beta 90.00
_cell_angle_gamma 90.00
loop_
_atom_site_label
_atom_site_type_symbol
_atom_site_fract_x
_atom_site_fract_y
_atom_site_fract_z
Mo1 Mo 0.0000 0.0000 0.9887
Mo2 Mo 0.5000 0.5000 0.2605
Re1 Re 0.0000 0.0000 0.5142
Tc1 Tc 0.5000 0.5000 0.7366

19.
# ReTcMo2 GGA-PBE relaxed
# M_tot	0.0	μB per formula unit
# raw total energy	-44.07	eV for the cell shown
# symmetry	Pmmm
# E_form	0.101	eV per atom
# crystal system	orthorhombic
# V	61.4	Å³ per cell
data_ReTcMo2
_chemical_formula_sum 'Re1 Tc1 Mo2'
_symmetry_space_group_name_H-M 'P 1'
_symmetry_Int_Tables_number 1
_symmetry_space_group_name_Hall 'P 1'
_cell_length_a 3.1117
_cell_length_b 4.4549
_cell_length_c 4.4311
_cell_angle_alpha 90.00
_cell_angle_beta 90.00
_cell_angle_gamma 90.00
loop_
_atom_site_label
_atom_site_type_symbol
_atom_site_fract_x
_atom_site_fract_y
_atom_site_fract_z
Mo1 Mo 0.0000 0.0000 0.0000
Mo2 Mo 0.5000 0.5000 0.0000
Re1 Re 0.5000 0.0000 0.5000
Tc1 Tc 0.0000 0.5000 0.5000

20.
# ReTcMo4 GGA-PBE relaxed
# M_tot	0.0	μB per formula unit
# raw total energy	-65.82	eV for the cell shown
# symmetry	C2/m
# E_form	0.054	eV per atom
# crystal system	monoclinic
# V	93.2	Å³ per cell
data_ReTcMo4
_chemical_formula_sum 'Re1 Tc1 Mo4'
_symmetry_space_group_name_H-M 'P 1'
_symmetry_Int_Tables_number 1
_symmetry_space_group_name_Hall 'P 1'
_cell_length_a 3.1461
_cell_length_b 5.2061
_cell_length_c 6.8395
_cell_angle_alpha 110.02
_cell_angle_beta 103.28
_cell_angle_gamma 107.55
loop_
_atom_site_label
_atom_site_type_symbol
_atom_site_fract_x
_atom_site_fract_y
_atom_site_fract_z
Re1 Re 0.9978 0.4973 0.0019
Tc1 Tc 0.4978 0.9973 0.5019
Mo1 Mo 0.1644 0.9962 0.8362
Mo2 Mo 0.8313 0.9984 0.1675
Mo3 Mo 0.6627 0.4935 0.3350
Mo4 Mo 0.3330 0.5011 0.6687